Record 1
First-principles (GGA-PBE) data for PrSc2Ti after structural relaxation, as listed in Alexandria via LeMat-Bulk.

Values from the calculation:
**Magnetization**: 0.0 μB per cell
**Offset from the most stable computed form**: 78.7 meV/atom
**Energy of formation from the pure elements**: 0.231 eV per atom
**Density of states at the Fermi level**: 1.746 states/eV/atom

a = 3.215 Å, b = 3.215 Å, c = 11.385 Å
α = 81.88°, β = 81.88°, γ = 60.00°
Element x y z (fractional)
Sc (0.903, 0.903, 0.291)
Sc (0.097, 0.097, 0.709)
Pr (0.000, 0.000, 0.000)
Ti (0.500, 0.500, 0.500)

---

Record 2
First-principles (GGA-PBE) data for PrSc2Ti after structural relaxation, as listed in Alexandria via LeMat-Bulk.

Values from the calculation:
**Magnetization**: 0.0 μB per cell
**Offset from the most stable computed form**: 25.8 meV/atom
**Energy of formation from the pure elements**: 0.178 eV per atom
**Density of states at the Fermi level**: 1.771 states/eV/atom

a = 3.282 Å, b = 3.282 Å, c = 10.855 Å
α = 81.30°, β = 81.30°, γ = 60.00°
Element x y z (fractional)
Sc (0.073, 0.073, 0.781)
Sc (0.260, 0.260, 0.220)
Ti (0.666, 0.666, 0.001)
Pr (0.501, 0.501, 0.498)

---

Record 3
First-principles (GGA-PBE) data for Pr4ScTl after structural relaxation, as listed in Alexandria via LeMat-Bulk.

Values from the calculation:
**Magnetization**: 0.0 μB per cell
**Energy of formation from the pure elements**: 0.009 eV per atom
**Density of states at the Fermi level**: 1.398 states/eV/atom

a = 6.531 Å, b = 9.153 Å, c = 8.480 Å
α = 113.17°, β = 100.39°, γ = 112.30°
Element x y z (fractional)
Pr (0.219, 0.596, 0.784)
Pr (0.781, 0.404, 0.216)
Pr (0.066, 0.188, 0.784)
Pr (0.644, 0.093, 0.384)
Pr (0.934, 0.812, 0.216)
Pr (0.759, 0.709, 0.616)
Pr (0.241, 0.291, 0.384)
Pr (0.356, 0.907, 0.616)
Tl (0.748, 0.998, 0.996)
Tl (0.252, 0.002, 0.004)
Sc (0.654, 0.404, 0.808)
Sc (0.346, 0.596, 0.192)